{
  "formula": "BaSrNdWO6",
  "functional": "PBE+U",
  "state": "optimized geometry",
  "space_group": "No. 2",
  "lattice_angstrom": [[6.038, 0.000, 0.000], [0.007, 6.058, 0.000], [0.059, 0.022, 8.629]],
  "species": ["Ba", "Ba", "Sr", "Sr", "Nd", "Nd", "W", "W", "O", "O", "O", "O", "O", "O", "O", "O", "O", "O", "O", "O"],
  "fractional_positions": [[0.004, 0.024, 0.252], [0.996, 0.976, 0.748], [0.500, 0.469, 0.753], [0.500, 0.531, 0.247], [0.000, 0.500, 0.000], [0.500, 0.000, 0.500], [0.000, 0.500, 0.500], [0.500, 0.000, 0.000], [0.078, 0.496, 0.732], [0.197, 0.770, 0.472], [0.237, 0.812, 0.022], [0.264, 0.314, 0.457], [0.312, 0.278, 0.046], [0.442, 0.043, 0.767], [0.558, 0.957, 0.233], [0.688, 0.722, 0.954], [0.736, 0.686, 0.543], [0.763, 0.188, 0.978], [0.803, 0.230, 0.528], [0.922, 0.504, 0.268]]
}

{
  "formula": "BaSrNdWO6",
  "functional": "PBE+U",
  "state": "optimized geometry",
  "space_group": "No. 216",
  "lattice_angstrom": [[0.000, 4.313, 4.313], [4.313, 0.000, 4.313], [4.313, 4.313, 0.000]],
  "species": ["Ba", "Sr", "Nd", "W", "O", "O", "O", "O", "O", "O"],
  "fractional_positions": [[0.000, 0.000, 0.000], [0.500, 0.500, 0.500], [0.750, 0.750, 0.750], [0.250, 0.250, 0.250], [0.019, 0.019, 0.481], [0.019, 0.481, 0.019], [0.019, 0.481, 0.481], [0.481, 0.019, 0.019], [0.481, 0.019, 0.481], [0.481, 0.481, 0.019]]
}

Computed total energy, in the same sequence as the records: -146.18, -71.99 eV/cell.